No. 1
TaPbN2: PBEsol geometry, meta-GGA SCAN.

The structure in CIF format:
```
data_TaPbN2
_cell_length_a 3.160
_cell_length_b 3.160
_cell_length_c 7.265
_cell_angle_alpha 77.44
_cell_angle_beta 77.44
_cell_angle_gamma 60.00
_symmetry_space_group_name_H-M 'P 1'
_symmetry_Int_Tables_number 1
loop_
_symmetry_equiv_pos_as_xyz
'x,y,z'
loop_
_atom_site_label
_atom_site_type_symbol
_atom_site_fract_x
_atom_site_fract_y
_atom_site_fract_z
Pb1 Pb 0.000 0.000 0.000
N1 N 0.883 0.883 0.351
N2 N 0.117 0.117 0.649
Ta1 Ta 0.500 0.500 0.500
```

formation energy from raw total energies = -0.62 eV per atom

No. 2
TaTePbN2: PBEsol geometry, meta-GGA SCAN.

The structure in CIF format:
```
data_TaTePbN2
_cell_length_a 4.220
_cell_length_b 4.220
_cell_length_c 5.846
_cell_angle_alpha 90.00
_cell_angle_beta 90.00
_cell_angle_gamma 90.00
_symmetry_space_group_name_H-M 'P 1'
_symmetry_Int_Tables_number 1
loop_
_symmetry_equiv_pos_as_xyz
'x,y,z'
loop_
_atom_site_label
_atom_site_type_symbol
_atom_site_fract_x
_atom_site_fract_y
_atom_site_fract_z
Te1 Te 0.000 0.000 0.500
N1 N 0.000 0.500 0.000
N2 N 0.500 0.000 0.000
Pb1 Pb 0.000 0.000 0.000
Ta1 Ta 0.500 0.500 0.500
```

formation energy from raw total energies = 2.10 eV per atom

No. 3
TlTcPbN2: PBEsol geometry, meta-GGA SCAN.

The structure in CIF format:
```
data_TlTcPbN2
_cell_length_a 3.965
_cell_length_b 3.965
_cell_length_c 5.513
_cell_angle_alpha 90.00
_cell_angle_beta 90.00
_cell_angle_gamma 90.00
_symmetry_space_group_name_H-M 'P 1'
_symmetry_Int_Tables_number 1
loop_
_symmetry_equiv_pos_as_xyz
'x,y,z'
loop_
_atom_site_label
_atom_site_type_symbol
_atom_site_fract_x
_atom_site_fract_y
_atom_site_fract_z
N1 N 0.500 0.000 0.000
N2 N 0.000 0.500 0.000
Pb1 Pb 0.500 0.500 0.500
Tc1 Tc 0.000 0.000 0.000
Tl1 Tl 0.000 0.000 0.500
```

formation energy from raw total energies = 0.75 eV per atom

No. 4
Te2PbN2: PBEsol geometry, meta-GGA SCAN.

The structure in CIF format:
```
data_Te2PbN2
_cell_length_a 4.394
_cell_length_b 4.394
_cell_length_c 6.222
_cell_angle_alpha 90.00
_cell_angle_beta 90.00
_cell_angle_gamma 90.00
_symmetry_space_group_name_H-M 'P 1'
_symmetry_Int_Tables_number 1
loop_
_symmetry_equiv_pos_as_xyz
'x,y,z'
loop_
_atom_site_label
_atom_site_type_symbol
_atom_site_fract_x
_atom_site_fract_y
_atom_site_fract_z
Te1 Te 0.500 0.500 0.500
Te2 Te 0.000 0.000 0.500
N1 N 0.500 0.000 0.000
N2 N 0.000 0.500 0.000
Pb1 Pb 0.000 0.000 0.000
```

formation energy from raw total energies = 1.51 eV per atom

Question: Among the records above, which one has the highest formation energy from raw total energies?
Answer: TaTePbN2

Question: Look up the formation energy from raw total energies of the first one.
Answer: -0.62 eV per atom

Question: Number 1 is which compound?
Answer: TaPbN2